Entry 1:
# YHg2Ir

Crystalline YHg2Ir at its relaxed geometry (PBE, the Alexandria database).

Results
calculated density	12.21	g/cm3
VASP energy	-4.230	eV/atom
energy above the most stable polymorph in this dataset	14	meV per atom
total magnetic moment	0.000	μB per formula unit
DOS at the Fermi energy	1.57	states/eV/cell
calculated volume	92.8	Å³ per cell
ΔE_f	-0.25	eV per atom

Unit cell a=3.878 b=3.887 c=6.448 alpha=90.00 beta=107.28 gamma=90.00
Space group Pm (No. 6)
Unique sites:
Y1 0.000 0.000 0.000 x1
Hg1 0.272 0.000 0.545 x1
Hg2 0.664 0.500 0.326 x1
Ir1 0.438 0.500 0.875 x1

Entry 2:
# MgTe2Br

Crystalline MgTe2Br at its relaxed geometry (PBE, the Alexandria database).

Results
formation energy from raw total energies	-27	kJ per mole of atoms
calculated density	4.92	g/cm3
VASP energy	-2.664	eV/atom
energy above the most stable polymorph in this dataset	352	meV per atom
total magnetic moment	0.000	μB per formula unit
DOS at the Fermi energy	1.42	states/eV/cell
calculated volume	121.4	Å³ per cell

Unit cell a=4.090 b=4.365 c=6.798 alpha=90.00 beta=90.00 gamma=90.00
Space group Pmmm (No. 47)
Unique sites:
Mg1 0.000 0.000 0.000 x1
Te1 0.000 0.500 0.500 x1
Te2 0.500 0.000 0.500 x1
Br1 0.500 0.500 0.000 x1

Entry 3:
# NbHgW2

Crystalline NbHgW2 at its relaxed geometry (PBE, the Alexandria database).

Results
calculated density	14.16	g/cm3
VASP energy	-7.844	eV/atom
total magnetic moment	0.000	μB per formula unit
DOS at the Fermi energy	15.64	states/eV/cell
calculated volume	310.2	Å³ per cell
ΔE_f	1.23	eV per atom

Unit cell a=7.468 b=7.468 c=5.563 alpha=90.00 beta=90.00 gamma=90.00
Space group I-42d (No. 122)
Unique sites:
Nb1 0.000 0.000 0.000 x4
Hg1 0.000 0.000 0.500 x4
W1 0.231 0.250 0.125 x8

Entry 4:
# Cd2H2Pt5

Crystalline Cd2H2Pt5 at its relaxed geometry (PBE, the Alexandria database).

Results
calculated density	15.26	g/cm3
VASP energy	-4.425	eV/atom
total magnetic moment	0.000	μB per formula unit
DOS at the Fermi energy	19.81	states/eV/cell
calculated volume	523.1	Å³ per cell

Unit cell a=15.252 b=5.949 c=5.765 alpha=90.00 beta=90.00 gamma=90.00
Space group Ima2 (No. 46)
Unique sites:
Cd1 0.133 0.022 0.000 x8
H1 0.000 0.000 0.589 x4
H2 0.250 0.087 0.498 x4
Pt1 0.000 0.244 0.254 x8
Pt2 0.136 0.004 0.500 x8
Pt3 0.250 0.749 0.751 x4

Entry 5:
# TePb2Cl2F

Crystalline TePb2Cl2F at its relaxed geometry (PBE, the Alexandria database).

Results
formation energy from raw total energies	-115	kJ per mole of atoms
calculated density	6.30	g/cm3
VASP energy	-3.882	eV/atom
total magnetic moment	0.000	μB per formula unit
calculated volume	666.2	Å³ per cell

Unit cell a=8.050 b=14.066 c=5.884 alpha=90.00 beta=90.00 gamma=90.00
Space group Ibam (No. 72)
Unique sites:
Te1 0.000 0.000 0.250 x4
Pb1 0.180 0.386 0.000 x8
Cl1 0.153 0.304 0.500 x8
F1 0.000 0.500 0.250 x4

Entry 6:
# Li2ScZnGe2

Crystalline Li2ScZnGe2 at its relaxed geometry (PBE, the Alexandria database).

Results
calculated density	4.24	g/cm3
VASP energy	-3.898	eV/atom
total magnetic moment	0.000	μB per formula unit
DOS at the Fermi energy	5.93	states/eV/cell
calculated volume	211.0	Å³ per cell
ΔE_f	-0.45	eV per atom

Unit cell a=4.078 b=7.757 c=6.670 alpha=90.00 beta=90.00 gamma=90.00
Space group Pmc2_1 (No. 26)
Unique sites:
Li1 0.000 0.074 0.000 x2
Li2 0.500 0.176 0.317 x2
Sc1 0.500 0.446 0.952 x2
Zn1 0.000 0.307 0.615 x2
Ge1 0.000 0.375 0.233 x2
Ge2 0.500 0.143 0.716 x2

Entry 7:
# CoAg2I4

Crystalline CoAg2I4 at its relaxed geometry (PBE, the Alexandria database).

Results
formation energy from raw total energies	-13	kJ per mole of atoms
calculated density	4.42	g/cm3
VASP energy	-2.853	eV/atom
total magnetic moment	3.000	μB per formula unit
calculated volume	293.6	Å³ per cell

Unit cell a=6.692 b=6.692 c=6.557 alpha=90.00 beta=90.00 gamma=90.00
Space group P-42m (No. 111)
Unique sites:
Co1 0.000 0.000 0.000 x1
Ag1 0.000 0.500 0.000 x2
I1 0.221 0.221 0.759 x4

Entry 8:
# Ta2FeMo

Crystalline Ta2FeMo at its relaxed geometry (PBE, the Alexandria database).

Results
calculated density	12.79	g/cm3
VASP energy	-10.171	eV/atom
energy above the most stable polymorph in this dataset	755	meV per atom
total magnetic moment	0.270	μB per formula unit
DOS at the Fermi energy	15.16	states/eV/cell
calculated volume	266.7	Å³ per cell
ΔE_f	0.58	eV per atom

Unit cell a=6.994 b=6.994 c=5.453 alpha=90.00 beta=90.00 gamma=90.00
Space group I-42d (No. 122)
Unique sites:
Ta1 0.224 0.250 0.125 x8
Fe1 0.000 0.000 0.000 x4
Mo1 0.000 0.000 0.500 x4

Entry 9:
# Tb2DyTe

Crystalline Tb2DyTe at its relaxed geometry (PBE, the Alexandria database).

Results
formation energy from raw total energies	-50	kJ per mole of atoms
calculated density	7.89	g/cm3
VASP energy	-4.774	eV/atom
energy above the most stable polymorph in this dataset	134	meV per atom
total magnetic moment	0.000	μB per formula unit
DOS at the Fermi energy	11.21	states/eV/cell
calculated volume	383.8	Å³ per cell

Unit cell a=3.8493 b=3.8493 c=29.9076 alpha=90.00 beta=90.00 gamma=120.00
Space group R-3m (No. 166, hexagonal axes)
Unique sites:
Tb1 0.0000 0.0000 0.2389 x6
Dy1 0.0000 0.0000 0.0000 x3
Te1 0.0000 0.0000 0.5000 x3

Entry 10:
# Ca2CdSi

Crystalline Ca2CdSi at its relaxed geometry (PBE, the Alexandria database).

Results
formation energy from raw total energies	5	kJ per mole of atoms
calculated density	3.55	g/cm3
VASP energy	-2.534	eV/atom
total magnetic moment	0.000	μB per formula unit
DOS at the Fermi energy	16.45	states/eV/cell
calculated volume	412.3	Å³ per cell

Unit cell a=7.443 b=7.443 c=7.443 alpha=90.00 beta=90.00 gamma=90.00
Space group F-43m (No. 216)
Unique sites:
Ca1 0.000 0.000 0.000 x4
Ca2 0.250 0.250 0.250 x4
Cd1 0.250 0.250 0.750 x4
Si1 0.000 0.000 0.500 x4

Entry 11:
# Er2SeI3

Crystalline Er2SeI3 at its relaxed geometry (PBE, the Alexandria database).

Results
formation energy from raw total energies	-131	kJ per mole of atoms
calculated density	5.42	g/cm3
VASP energy	-4.239	eV/atom
total magnetic moment	0.005	μB per formula unit
DOS at the Fermi energy	11.83	states/eV/cell
calculated volume	973.8	Å³ per cell

Unit cell a=21.534 b=4.175 c=14.851 alpha=90.00 beta=133.16 gamma=90.00
Space group C2/m (No. 12)
Unique sites:
Er1 0.078 0.000 0.468 x4
Er2 0.131 0.500 0.827 x4
Se1 0.102 0.000 0.681 x4
I1 0.046 0.500 0.278 x4
I2 0.175 0.000 0.021 x4
I3 0.220 0.500 0.619 x4

Entry 12:
# HfMgCdOs2

Crystalline HfMgCdOs2 at its relaxed geometry (PBE, the Alexandria database).

Results
calculated density	10.93	g/cm3
VASP energy	-5.354	eV/atom
total magnetic moment	0.000	μB per formula unit
DOS at the Fermi energy	2.61	states/eV/cell
calculated volume	105.7	Å³ per cell
ΔE_f	1.63	eV per atom

Unit cell a=4.895 b=4.895 c=4.413 alpha=90.00 beta=90.00 gamma=90.00
Space group P4/mmm (No. 123)
Unique sites:
Hf1 0.000 0.000 0.000 x1
Mg1 0.500 0.500 0.000 x1
Cd1 0.500 0.500 0.500 x1
Os1 0.000 0.500 0.500 x2

Entry 13:
# SmGdTiAl

Crystalline SmGdTiAl at its relaxed geometry (PBE, the Alexandria database).

Results
calculated density	6.39	g/cm3
VASP energy	-7.639	eV/atom
total magnetic moment	9.490	μB per formula unit
DOS at the Fermi energy	20.77	states/eV/cell
calculated volume	397.5	Å³ per cell
ΔE_f	-0.03	eV per atom

Unit cell a=7.353 b=7.353 c=7.353 alpha=90.00 beta=90.00 gamma=90.00
Space group F-43m (No. 216)
Unique sites:
Sm1 0.000 0.000 0.000 x4
Gd1 0.000 0.000 0.500 x4
Ti1 0.250 0.250 0.250 x4
Al1 0.250 0.250 0.750 x4

Entry 14:
# TaCrCu4

Crystalline TaCrCu4 at its relaxed geometry (PBE, the Alexandria database).

Results
calculated density	10.12	g/cm3
VASP energy	-6.143	eV/atom
total magnetic moment	3.251	μB per formula unit
DOS at the Fermi energy	18.38	states/eV/cell
calculated volume	319.8	Å³ per cell
ΔE_f	0.17	eV per atom

Unit cell a=6.838 b=6.838 c=6.838 alpha=90.00 beta=90.00 gamma=90.00
Space group F-43m (No. 216)
Unique sites:
Ta1 0.000 0.000 0.000 x4
Cr1 0.250 0.250 0.750 x4
Cu1 0.125 0.125 0.375 x16

Entry 15:
# TbCu2Ni4

Crystalline TbCu2Ni4 at its relaxed geometry (PBE, the Alexandria database).

Results
calculated density	9.26	g/cm3
VASP energy	-5.306	eV/atom
energy above the most stable polymorph in this dataset	0	meV per atom
total magnetic moment	0.000	μB per formula unit
DOS at the Fermi energy	16.06	states/eV/cell
calculated volume	186.9	Å³ per cell
ΔE_f	-0.17	eV per atom

Unit cell a=7.872 b=6.207 c=4.835 alpha=90.00 beta=127.72 gamma=90.00
Space group C2/m (No. 12)
Unique sites:
Tb1 0.000 0.000 0.000 x2
Cu1 0.000 0.500 0.250 x4
Ni1 0.193 0.193 0.693 x8

Entry 16:
# Na3Sc3GeS8

Crystalline Na3Sc3GeS8 at its relaxed geometry (PBE, the Alexandria database).

Results
formation energy from raw total energies	-136	kJ per mole of atoms
calculated density	2.75	g/cm3
VASP energy	-5.448	eV/atom
total magnetic moment	0.000	μB per formula unit
DOS at the Fermi energy	3.20	states/eV/cell
calculated volume	965.8	Å³ per cell

Unit cell a=7.4268 b=7.4268 c=20.2209 alpha=90.00 beta=90.00 gamma=120.00
Space group R-3m (No. 166, hexagonal axes)
Unique sites:
Na1 0.0000 0.5000 0.0000 x9
Sc1 0.0000 0.5000 0.5000 x9
Ge1 0.0000 0.0000 0.5000 x3
S1 0.0000 0.0000 0.2380 x6
S2 0.0170 0.5085 0.2356 x18

Entry 17:
# ScPdAu2

Crystalline ScPdAu2 at its relaxed geometry (PBE, the Alexandria database).

Results
calculated density	12.62	g/cm3
VASP energy	-5.157	eV/atom
total magnetic moment	0.000	μB per formula unit
DOS at the Fermi energy	7.70	states/eV/cell
calculated volume	287.0	Å³ per cell
ΔE_f	-0.64	eV per atom

Unit cell a=6.597 b=6.597 c=6.597 alpha=90.00 beta=90.00 gamma=90.00
Space group Fm-3m (No. 225)
Unique sites:
Sc1 0.000 0.000 0.000 x4
Pd1 0.000 0.000 0.500 x4
Au1 0.250 0.250 0.250 x8

Entry 18:
# Hf2TaNi2

Crystalline Hf2TaNi2 at its relaxed geometry (PBE, the Alexandria database).

Results
calculated density	13.06	g/cm3
VASP energy	-8.943	eV/atom
energy above the most stable polymorph in this dataset	0	meV per atom
total magnetic moment	0.000	μB per formula unit
DOS at the Fermi energy	10.65	states/eV/cell
calculated volume	166.7	Å³ per cell
ΔE_f	-0.28	eV per atom

Unit cell a=7.195 b=7.195 c=3.220 alpha=90.00 beta=90.00 gamma=90.00
Space group P4/mbm (No. 127)
Unique sites:
Hf1 0.169 0.331 0.000 x4
Ta1 0.000 0.000 0.500 x2
Ni1 0.126 0.626 0.500 x4

Entry 19:
# Fe2RuPt

Crystalline Fe2RuPt at its relaxed geometry (PBE, the Alexandria database).

Results
calculated density	12.74	g/cm3
VASP energy	-8.031	eV/atom
total magnetic moment	4.413	μB per formula unit
DOS at the Fermi energy	4.88	states/eV/cell
calculated volume	53.2	Å³ per cell
ΔE_f	0.03	eV per atom

Unit cell a=2.694 b=3.657 c=5.395 alpha=90.00 beta=90.00 gamma=90.00
Space group Pmm2 (No. 25)
Unique sites:
Fe1 0.000 0.000 0.000 x1
Fe2 0.500 0.500 0.240 x1
Ru1 0.500 0.500 0.783 x1
Pt1 0.000 0.000 0.496 x1

Entry 20:
# Th2SiHg

Crystalline Th2SiHg at its relaxed geometry (PBE, the Alexandria database).

Results
formation energy from raw total energies	-34	kJ per mole of atoms
calculated density	11.08	g/cm3
VASP energy	-5.496	eV/atom
energy above the most stable polymorph in this dataset	32	meV per atom
total magnetic moment	0.000	μB per formula unit
DOS at the Fermi energy	3.38	states/eV/cell
calculated volume	103.8	Å³ per cell

Unit cell a=3.838 b=3.838 c=7.047 alpha=90.00 beta=90.00 gamma=90.00
Space group P4/mmm (No. 123)
Unique sites:
Th1 0.000 0.000 0.228 x2
Si1 0.500 0.500 0.000 x1
Hg1 0.500 0.500 0.500 x1

Entry 21:
# CsRbPaCl6

Crystalline CsRbPaCl6 at its relaxed geometry (PBE, the Alexandria database).

Results
formation energy from raw total energies	-193	kJ per mole of atoms
calculated density	2.97	g/cm3
VASP energy	-4.488	eV/atom
total magnetic moment	1.000	μB per formula unit
calculated volume	739.9	Å³ per cell

Unit cell a=8.3098 b=8.3098 c=12.3728 alpha=90.00 beta=90.00 gamma=120.00
Space group P-31c (No. 163)
Unique sites:
Cs1 0.3333 0.6667 0.2500 x2
Rb1 0.0000 0.0000 0.0000 x2
Pa1 0.3333 0.6667 0.7500 x2
Cl1 0.0754 0.3981 0.6275 x12